(1)
Entry from Alexandria: TbPm2Pt after structural relaxation (PBE-GGA).

Computed properties:
DOS(E_F), states/eV/atom: 1.527
Crystal system: tetragonal
Spin magnetization, μB per formula unit: 0.00
Distance to the lowest polymorph of the same formula, meV per atom: 164.2
Energy of formation from the pure elements, eV/atom: -0.494

Unit cell a=3.6640 b=3.6640 c=8.5259 alpha=90.00 beta=90.00 gamma=90.00
Closest atoms and distances in Å follow each position.
Atoms (fractional coordinates):
Pm  0.0000  0.0000  0.8025  4 Pt 3.09, 1 Pm 3.37
Pt  0.5000  0.5000  0.0000  8 Pm 3.09
Pm  0.0000  0.0000  0.1975  4 Pt 3.09, 1 Pm 3.37
Tb  0.5000  0.5000  0.5000  8 Pm 3.66, 4 Tb 3.66

(2)
Entry from Alexandria: TbPm2Pt after structural relaxation (PBE-GGA).

Computed properties:
DOS(E_F), states/eV/atom: 1.177
Crystal system: trigonal
Spin magnetization, μB per formula unit: 0.00
Distance to the lowest polymorph of the same formula, meV per atom: 209.1
Energy of formation from the pure elements, eV/atom: -0.449

Unit cell a=3.9799 b=3.9799 c=9.5105 alpha=77.92 beta=77.92 gamma=60.00
Closest atoms and distances in Å follow each position.
Atoms (fractional coordinates):
Tb  0.5009  0.5009  0.4974  6 Pm 3.67-3.71, 6 Tb 3.98
Pt  0.6660  0.6660  0.0019  6 Pm 2.87-2.88
Pm  0.2709  0.2709  0.1873  3 Pt 2.87
Pm  0.0622  0.0622  0.8134  3 Pt 2.88

(3)
Entry from Alexandria: TbPmPt3 after structural relaxation (PBE-GGA).

Computed properties:
DOS(E_F), states/eV/atom: 0.683
Crystal system: orthorhombic
Spin magnetization, μB per formula unit: 0.00
Energy of formation from the pure elements, eV/atom: -1.099

Unit cell a=4.2681 b=3.8720 c=13.6803 alpha=98.14 beta=90.00 gamma=90.00
Closest atoms and distances in Å follow each position.
Atoms (fractional coordinates):
Pt  0.7500  0.3139  0.6277  2 Pt 2.72, 5 Tb 2.91-2.93
Tb  0.2500  0.7935  0.5870  7 Pt 2.91-2.96
Pt  0.2500  0.6861  0.3723  2 Pt 2.72, 5 Tb 2.91-2.93
Pm  0.7500  0.9263  0.8527  10 Pt 3.14-3.36
Pm  0.2500  0.0737  0.1473  10 Pt 3.14-3.36
Pt  0.7500  0.6237  0.2475  3 Pt 2.60-2.72
Pt  0.7500  0.5279  0.0557  3 Pt 2.60-2.61
Tb  0.7500  0.2065  0.4130  7 Pt 2.91-2.96
Pt  0.2500  0.4721  0.9443  3 Pt 2.60-2.61
Pt  0.2500  0.3763  0.7525  3 Pt 2.60-2.72

(4)
Entry from Alexandria: Tb2Pm2Pt15 after structural relaxation (PBE-GGA).

Computed properties:
DOS(E_F), states/eV/atom: 0.893
Crystal system: trigonal
Spin magnetization, μB per formula unit: 0.00
Energy of formation from the pure elements, eV/atom: -0.723

Unit cell a=7.1145 b=7.1145 c=7.1145 alpha=82.37 beta=82.37 gamma=82.37
Closest atoms and distances in Å follow each position.
Atoms (fractional coordinates):
Pt  0.6528  0.6528  0.1612  8 Pt 2.68-2.87, 1 Tb 2.92
Pt  0.3472  0.3472  0.8388  8 Pt 2.68-2.87, 1 Tb 2.92
Pt  0.3129  0.0000  0.6871  8 Pt 2.74-2.93
Pt  0.1612  0.6528  0.6528  8 Pt 2.68-2.87, 1 Tb 2.92
Pm  0.3593  0.3593  0.3593  12 Pt 3.21-3.39, 1 Tb 3.50
Pt  0.6871  0.0000  0.3129  8 Pt 2.74-2.93
Pt  0.0000  0.5000  0.0000  8 Pt 2.73-2.74, 2 Tb 2.83
Tb  0.1066  0.1066  0.1066  6 Pt 2.83-2.92, 1 Tb 2.96
Pt  0.5000  0.0000  0.0000  8 Pt 2.73-2.74, 2 Tb 2.83
Pm  0.6407  0.6407  0.6407  12 Pt 3.21-3.39, 1 Tb 3.50
Pt  0.0000  0.6871  0.3129  8 Pt 2.74-2.93
Pt  0.6871  0.3129  0.0000  8 Pt 2.74-2.93
Pt  0.3129  0.6871  0.0000  8 Pt 2.74-2.93
Pt  0.3472  0.8388  0.3472  8 Pt 2.68-2.87, 1 Tb 2.92
Tb  0.8934  0.8934  0.8934  6 Pt 2.83-2.92, 1 Tb 2.96
Pt  0.0000  0.3129  0.6871  8 Pt 2.74-2.93
Pt  0.0000  0.0000  0.5000  8 Pt 2.73-2.74, 2 Tb 2.83
Pt  0.6528  0.1612  0.6528  8 Pt 2.68-2.87, 1 Tb 2.92
Pt  0.8388  0.3472  0.3472  8 Pt 2.68-2.87, 1 Tb 2.92

(5)
Entry from Alexandria: Tb3PmPt3 after structural relaxation (PBE-GGA).

Computed properties:
DOS(E_F), states/eV/atom: 0.607
Crystal system: trigonal
Spin magnetization, μB per formula unit: 0.00
Energy of formation from the pure elements, eV/atom: -1.047

Unit cell a=8.6498 b=8.6498 c=7.5735 alpha=55.18 beta=55.18 gamma=60.00
Closest atoms and distances in Å follow each position.
Atoms (fractional coordinates):
Pt  0.6988  0.4434  0.7973  5 Tb 2.86-3.12, 2 Pm 2.91-3.02, 1 Pt 3.20
Tb  0.8212  0.1113  0.7007  5 Pt 2.86-3.12
Pt  0.5566  0.9395  0.2027  5 Tb 2.86-3.12, 2 Pm 2.91-3.02, 1 Pt 3.20
Tb  0.6332  0.1788  0.2993  5 Pt 2.86-3.12
Pm  0.6677  0.6677  0.9969  6 Pt 2.91-3.02
Pt  0.0605  0.6988  0.7973  5 Tb 2.86-3.12, 2 Pm 2.91-3.02, 1 Pt 3.20
Tb  0.3668  0.8212  0.7007  5 Pt 2.86-3.12
Pt  0.9395  0.3012  0.2027  5 Tb 2.86-3.12, 2 Pm 2.91-3.02, 1 Pt 3.20
Tb  0.8887  0.6332  0.2993  5 Pt 2.86-3.12
Pt  0.4434  0.0605  0.7973  5 Tb 2.86-3.12, 2 Pm 2.91-3.02, 1 Pt 3.20
Tb  0.1788  0.8887  0.2993  5 Pt 2.86-3.12
Pt  0.3012  0.5566  0.2027  5 Tb 2.86-3.12, 2 Pm 2.91-3.02, 1 Pt 3.20
Pm  0.3323  0.3323  0.0031  6 Pt 2.91-3.02
Tb  0.1113  0.3668  0.7007  5 Pt 2.86-3.12

(6)
Entry from Alexandria: TbPm2Pt after structural relaxation (PBE-GGA).

Computed properties:
DOS(E_F), states/eV/atom: 0.973
Crystal system: orthorhombic
Spin magnetization, μB per formula unit: 0.00
Distance to the lowest polymorph of the same formula, meV per atom: 0.0
Energy of formation from the pure elements, eV/atom: -0.658

Unit cell a=6.5667 b=7.1519 c=9.9536 alpha=90.00 beta=90.00 gamma=90.00
Closest atoms and distances in Å follow each position.
Atoms (fractional coordinates):
Pt  0.5522  0.1153  0.7500  2 Tb 2.84-2.89, 4 Pm 2.95-2.97
Pm  0.1756  0.6810  0.0612  2 Pt 2.95-2.97
Pt  0.4478  0.8847  0.2500  2 Tb 2.84-2.89, 4 Pm 2.95-2.97
Pm  0.8244  0.3190  0.9388  2 Pt 2.95-2.97
Pt  0.9478  0.6153  0.7500  2 Tb 2.84-2.89, 4 Pm 2.95-2.97
Tb  0.6414  0.5298  0.2500  2 Pt 2.84-2.89
Pm  0.1756  0.6810  0.4388  2 Pt 2.95-2.97
Pt  0.0522  0.3847  0.2500  2 Tb 2.84-2.89, 4 Pm 2.95-2.97
Pm  0.3244  0.1810  0.0612  2 Pt 2.95-2.97
Pm  0.8244  0.3190  0.5612  2 Pt 2.95-2.97
Tb  0.8586  0.0298  0.2500  2 Pt 2.84-2.89
Pm  0.3244  0.1810  0.4388  2 Pt 2.95-2.97
Pm  0.6756  0.8190  0.5612  2 Pt 2.95-2.97
Tb  0.1414  0.9702  0.7500  2 Pt 2.84-2.89
Pm  0.6756  0.8190  0.9388  2 Pt 2.95-2.97
Tb  0.3587  0.4702  0.7500  2 Pt 2.84-2.89

(7)
Entry from Alexandria: TbPm3Pt after structural relaxation (PBE-GGA).

Computed properties:
DOS(E_F), states/eV/atom: 1.315
Crystal system: monoclinic
Spin magnetization, μB per formula unit: 0.00
Energy of formation from the pure elements, eV/atom: -0.428

Unit cell a=5.1814 b=6.5575 c=8.9204 alpha=96.54 beta=90.00 gamma=90.00
Closest atoms and distances in Å follow each position.
Atoms (fractional coordinates):
Pm  0.4756  0.2848  0.2408  1 Pt 2.93
Pm  0.4757  0.8537  0.4698  1 Pt 2.83
Pt  0.4756  0.7052  0.1587  3 Pm 2.80-2.93, 2 Tb 3.02
Tb  0.9757  0.9403  0.2016  2 Pt 3.02
Pm  0.9756  0.4991  0.4318  1 Pt 2.83
Pm  0.4756  0.8970  0.8936  1 Pt 2.80
Pm  0.9757  0.0680  0.6608  1 Pt 2.93
Pt  0.9755  0.6475  0.7429  3 Pm 2.80-2.93, 2 Tb 3.02
Tb  0.4756  0.4125  0.7000  2 Pt 3.02
Pm  0.9756  0.4558  0.0080  1 Pt 2.80

(8)
Entry from Alexandria: TbPm2Pt2 after structural relaxation (PBE-GGA).

Computed properties:
DOS(E_F), states/eV/atom: 0.864
Crystal system: orthorhombic
Spin magnetization, μB per formula unit: 0.00
Distance to the lowest polymorph of the same formula, meV per atom: 90.3
Energy of formation from the pure elements, eV/atom: -0.893

Unit cell a=6.2563 b=8.1374 c=7.4467 alpha=123.12 beta=114.84 gamma=90.00
Closest atoms and distances in Å follow each position.
Atoms (fractional coordinates):
Pt  0.1040  0.8751  0.2079  3 Pm 2.84-3.02, 2 Tb 2.93
Tb  0.7500  0.5000  0.0000  4 Pt 2.93, 2 Tb 3.13
Pt  0.8960  0.1249  0.7921  3 Pm 2.84-3.02, 2 Tb 2.93
Pm  0.6535  0.0175  0.3070  3 Pt 2.84-3.02
Pt  0.3960  0.6672  0.7921  3 Pm 2.84-3.02, 2 Tb 2.93
Pm  0.1535  0.2895  0.3070  3 Pt 2.84-3.02
Pt  0.6040  0.3328  0.2079  3 Pm 2.84-3.02, 2 Tb 2.93
Pm  0.3465  0.9825  0.6930  3 Pt 2.84-3.02
Tb  0.2500  0.5000  0.0000  4 Pt 2.93, 2 Tb 3.13
Pm  0.8465  0.7105  0.6930  3 Pt 2.84-3.02

(9)
Entry from Alexandria: TbPmPt2 after structural relaxation (PBE-GGA).

Computed properties:
DOS(E_F), states/eV/atom: 0.748
Crystal system: tetragonal
Spin magnetization, μB per formula unit: 0.00
Distance to the lowest polymorph of the same formula, meV per atom: 86.2
Energy of formation from the pure elements, eV/atom: -1.135

Unit cell a=3.5444 b=3.5444 c=7.1108 alpha=90.00 beta=90.00 gamma=90.00
Closest atoms and distances in Å follow each position.
Atoms (fractional coordinates):
Pm  0.5000  0.5000  0.5000  8 Pt 3.12
Pt  0.0000  0.0000  0.7620  4 Tb 3.02, 4 Pm 3.12, 1 Pt 3.39
Pt  0.0000  0.0000  0.2380  4 Tb 3.02, 4 Pm 3.12, 1 Pt 3.39
Tb  0.5000  0.5000  0.0000  8 Pt 3.02

(10)
Entry from Alexandria: TbPmTlPt after structural relaxation (PBE-GGA).

Computed properties:
DOS(E_F), states/eV/atom: 0.896
Crystal system: cubic
Spin magnetization, μB per formula unit: 0.00
Energy of formation from the pure elements, eV/atom: -0.649

Unit cell a=5.2286 b=5.2286 c=5.2286 alpha=60.00 beta=60.00 gamma=60.00
Closest atoms and distances in Å follow each position.
Atoms (fractional coordinates):
Pm  0.0000  0.0000  0.0000  4 Pt 3.20, 4 Tl 3.20
Tb  0.5000  0.5000  0.5000  4 Tl 3.20, 4 Pt 3.20
Tl  0.2500  0.2500  0.2500  4 Pm 3.20, 4 Tb 3.20
Pt  0.7500  0.7500  0.7500  4 Tb 3.20, 4 Pm 3.20

(11)
Entry from Alexandria: Pm8TcPt2 after structural relaxation (PBE-GGA).

Computed properties:
DOS(E_F), states/eV/atom: 1.060
Crystal system: monoclinic
Spin magnetization, μB per formula unit: 0.00
Energy of formation from the pure elements, eV/atom: -0.339

Unit cell a=6.1103 b=7.8027 c=7.8027 alpha=114.15 beta=100.72 gamma=100.72
Closest atoms and distances in Å follow each position.
Atoms (fractional coordinates):
Pm  0.1737  0.3626  0.3626  1 Tc 2.89, 2 Pt 3.16
Pm  0.5838  0.3346  0.0849  2 Pt 2.88-2.91
Pm  0.5838  0.0849  0.3346  2 Pt 2.88-2.91
Pt  0.4955  0.3147  0.6966  6 Pm 2.88-3.16
Pm  0.9917  0.7895  0.2085  1 Tc 2.83
Pm  0.8165  0.6462  0.6462  1 Tc 2.99, 2 Pt 3.15
Pm  0.3778  0.9186  0.6682  2 Pt 2.90-2.94
Tc  0.1120  0.0093  0.0093  4 Pm 2.83-2.99
Pm  0.9917  0.2085  0.7895  1 Tc 2.83
Pt  0.4955  0.6966  0.3147  6 Pm 2.88-3.16
Pm  0.3778  0.6682  0.9186  2 Pt 2.90-2.94

(12)
Entry from Alexandria: Pm4TcPt after structural relaxation (PBE-GGA).

Computed properties:
DOS(E_F), states/eV/atom: 0.886
Crystal system: monoclinic
Spin magnetization, μB per formula unit: 0.00
Energy of formation from the pure elements, eV/atom: -0.412

Unit cell a=6.5262 b=8.0790 c=8.0790 alpha=110.43 beta=108.56 gamma=108.56
Closest atoms and distances in Å follow each position.
Atoms (fractional coordinates):
Pm  0.2246  0.3665  0.2346  2 Tc 2.92-2.99, 2 Pt 2.99-3.19
Pm  0.4063  0.7001  0.0486  2 Tc 2.94-3.04, 2 Pt 3.05-3.14
Pt  0.7500  0.6351  0.3649  8 Pm 2.99-3.19
Pt  0.2500  0.3649  0.6351  8 Pm 2.99-3.19
Tc  0.7500  0.9971  0.0029  8 Pm 2.92-3.04, 2 Tc 3.26
Pm  0.7246  0.2346  0.3665  2 Tc 2.92-2.99, 2 Pt 2.99-3.19
Pm  0.2754  0.7654  0.6335  2 Tc 2.92-2.99, 2 Pt 2.99-3.19
Pm  0.9063  0.0486  0.7001  2 Tc 2.94-3.04, 2 Pt 3.05-3.14
Tc  0.2500  0.0029  0.9971  8 Pm 2.92-3.04, 2 Tc 3.26
Pm  0.5937  0.2999  0.9514  2 Tc 2.94-3.04, 2 Pt 3.05-3.14
Pm  0.7754  0.6335  0.7654  2 Tc 2.92-2.99, 2 Pt 2.99-3.19
Pm  0.0937  0.9514  0.2999  2 Tc 2.94-3.04, 2 Pt 3.05-3.14